(1)
VASP calculation (PBE) on TlAg4S2 after structural relaxation.

Calculated values
Final energy, eV/atom: -3.125
Relative energy among the computed polymorphs, meV/atom: 60
Space group: R-3m, No. 166

Geometry as CIF:
```
data_TlAg4S2
_space_group_name_H-M_alt 'P 1'
_space_group_IT_number 1
_cell_length_a 4.587
_cell_length_b 4.587
_cell_length_c 8.602
_cell_angle_alpha 74.54
_cell_angle_beta 74.54
_cell_angle_gamma 60.00
loop_
_space_group_symop_operation_xyz
'x,y,z'
loop_
_atom_site_label
_atom_site_type_symbol
_atom_site_fract_x
_atom_site_fract_y
_atom_site_fract_z
Tl1 Tl 0.000 0.000 0.000
Ag1 Ag 0.428 0.428 0.716
Ag2 Ag 0.143 0.143 0.571
Ag3 Ag 0.572 0.572 0.284
Ag4 Ag 0.857 0.857 0.429
S1 S 0.251 0.251 0.247
S2 S 0.749 0.749 0.753
```

=====

(2)
VASP calculation (PBE) on TlAg3S2 after structural relaxation.

Calculated values
Final energy, eV/atom: -3.305
Relative energy among the computed polymorphs, meV/atom: 6
Space group: P-1, No. 2

Geometry as CIF:
```
data_TlAg3S2
_space_group_name_H-M_alt 'P 1'
_space_group_IT_number 1
_cell_length_a 4.318
_cell_length_b 8.764
_cell_length_c 8.395
_cell_angle_alpha 116.17
_cell_angle_beta 104.90
_cell_angle_gamma 89.99
loop_
_space_group_symop_operation_xyz
'x,y,z'
loop_
_atom_site_label
_atom_site_type_symbol
_atom_site_fract_x
_atom_site_fract_y
_atom_site_fract_z
Tl1 Tl 0.136 0.037 0.272
Tl2 Tl 0.864 0.963 0.728
Ag1 Ag 0.057 0.396 0.114
Ag2 Ag 0.943 0.604 0.886
Ag3 Ag 0.684 0.392 0.368
Ag4 Ag 0.316 0.608 0.632
Ag5 Ag 0.600 0.657 0.201
Ag6 Ag 0.400 0.343 0.799
S1 S 0.489 0.789 0.979
S2 S 0.511 0.211 0.021
S3 S 0.197 0.707 0.395
S4 S 0.803 0.293 0.605
```

=====

(3)
VASP calculation (PBE) on Tl3AgS2 after structural relaxation.

Calculated values
Final energy, eV/atom: -3.222
Relative energy among the computed polymorphs, meV/atom: 60
Space group: Ibam, No. 72

Geometry as CIF:
```
data_Tl3AgS2
_space_group_name_H-M_alt 'P 1'
_space_group_IT_number 1
_cell_length_a 5.388
_cell_length_b 7.902
_cell_length_c 10.824
_cell_angle_alpha 111.41
_cell_angle_beta 104.41
_cell_angle_gamma 90.00
loop_
_space_group_symop_operation_xyz
'x,y,z'
loop_
_atom_site_label
_atom_site_type_symbol
_atom_site_fract_x
_atom_site_fract_y
_atom_site_fract_z
Tl1 Tl 0.500 0.250 0.000
Tl2 Tl 0.500 0.750 0.000
Tl3 Tl 0.192 0.442 0.384
Tl4 Tl 0.808 0.058 0.616
Tl5 Tl 0.808 0.558 0.616
Tl6 Tl 0.192 0.942 0.384
Ag1 Ag 0.000 0.500 0.000
Ag2 Ag 0.000 0.000 0.000
S1 S 0.323 0.606 0.212
S2 S 0.111 0.894 0.788
S3 S 0.889 0.106 0.212
S4 S 0.677 0.394 0.788
```

=====

(4)
VASP calculation (PBE) on TmTlAgS2 after structural relaxation.

Calculated values
Final energy, eV/atom: -4.402
Space group: P2/c, No. 13

Geometry as CIF:
```
data_TmTlAgS2
_space_group_name_H-M_alt 'P 1'
_space_group_IT_number 1
_cell_length_a 6.020
_cell_length_b 6.365
_cell_length_c 7.286
_cell_angle_alpha 104.39
_cell_angle_beta 90.00
_cell_angle_gamma 90.00
loop_
_space_group_symop_operation_xyz
'x,y,z'
loop_
_atom_site_label
_atom_site_type_symbol
_atom_site_fract_x
_atom_site_fract_y
_atom_site_fract_z
Tm1 Tm 0.523 0.000 0.250
Tm2 Tm 0.477 0.000 0.750
Tl1 Tl 0.192 0.500 0.750
Tl2 Tl 0.808 0.500 0.250
Ag1 Ag 0.000 0.000 0.000
Ag2 Ag 0.000 0.000 0.500
S1 S 0.683 0.754 0.932
S2 S 0.683 0.246 0.568
S3 S 0.317 0.754 0.432
S4 S 0.317 0.246 0.068
```

=====

(5)
VASP calculation (PBE) on U2Tl2AgS6 after structural relaxation.

Calculated values
Final energy, eV/atom: -5.919
Space group: C2/m, No. 12

Geometry as CIF:
```
data_U2Tl2AgS6
_space_group_name_H-M_alt 'P 1'
_space_group_IT_number 1
_cell_length_a 7.003
_cell_length_b 7.003
_cell_length_c 7.806
_cell_angle_alpha 96.87
_cell_angle_beta 96.87
_cell_angle_gamma 122.87
loop_
_space_group_symop_operation_xyz
'x,y,z'
loop_
_atom_site_label
_atom_site_type_symbol
_atom_site_fract_x
_atom_site_fract_y
_atom_site_fract_z
U1 U 0.337 0.663 0.500
U2 U 0.663 0.337 0.500
Tl1 Tl 0.847 0.153 0.000
Tl2 Tl 0.153 0.847 0.000
Ag1 Ag 0.000 0.000 0.500
S1 S 0.720 0.720 0.682
S2 S 0.052 0.432 0.703
S3 S 0.280 0.280 0.318
S4 S 0.432 0.052 0.703
S5 S 0.948 0.568 0.297
S6 S 0.568 0.948 0.297
```

=====

(6)
VASP calculation (PBE) on U2Tl3AgS6 after structural relaxation.

Calculated values
Final energy, eV/atom: -5.634
Space group: C2/m, No. 12

Geometry as CIF:
```
data_U2Tl3AgS6
_space_group_name_H-M_alt 'P 1'
_space_group_IT_number 1
_cell_length_a 6.919
_cell_length_b 6.919
_cell_length_c 7.888
_cell_angle_alpha 98.11
_cell_angle_beta 98.11
_cell_angle_gamma 120.33
loop_
_space_group_symop_operation_xyz
'x,y,z'
loop_
_atom_site_label
_atom_site_type_symbol
_atom_site_fract_x
_atom_site_fract_y
_atom_site_fract_z
U1 U 0.333 0.667 0.000
U2 U 0.667 0.333 0.000
Tl1 Tl 0.159 0.841 0.500
Tl2 Tl 0.841 0.159 0.500
Tl3 Tl 0.500 0.500 0.500
Ag1 Ag 0.000 0.000 0.000
S1 S 0.933 0.576 0.796
S2 S 0.715 0.715 0.192
S3 S 0.067 0.424 0.204
S4 S 0.576 0.933 0.796
S5 S 0.285 0.285 0.808
S6 S 0.424 0.067 0.204
```

=====

(7)
VASP calculation (PBE) on UTl3Ag2S6 after structural relaxation.

Calculated values
Final energy, eV/atom: -4.589
Space group: C2/m, No. 12

Geometry as CIF:
```
data_UTl3Ag2S6
_space_group_name_H-M_alt 'P 1'
_space_group_IT_number 1
_cell_length_a 6.868
_cell_length_b 6.868
_cell_length_c 7.783
_cell_angle_alpha 97.13
_cell_angle_beta 97.13
_cell_angle_gamma 123.67
loop_
_space_group_symop_operation_xyz
'x,y,z'
loop_
_atom_site_label
_atom_site_type_symbol
_atom_site_fract_x
_atom_site_fract_y
_atom_site_fract_z
U1 U 0.000 0.000 0.000
Tl1 Tl 0.177 0.823 0.500
Tl2 Tl 0.823 0.177 0.500
Tl3 Tl 0.500 0.500 0.500
Ag1 Ag 0.356 0.644 0.000
Ag2 Ag 0.644 0.356 0.000
S1 S 0.915 0.612 0.810
S2 S 0.778 0.778 0.229
S3 S 0.085 0.388 0.190
S4 S 0.612 0.915 0.810
S5 S 0.222 0.222 0.771
S6 S 0.388 0.085 0.190
```

=====

(8)
VASP calculation (PBE) on UTlAgS3 after structural relaxation.

Calculated values
Final energy, eV/atom: -5.645
Space group: P2_1/m, No. 11

Geometry as CIF:
```
data_UTlAgS3
_space_group_name_H-M_alt 'P 1'
_space_group_IT_number 1
_cell_length_a 4.063
_cell_length_b 8.732
_cell_length_c 9.242
_cell_angle_alpha 105.98
_cell_angle_beta 90.00
_cell_angle_gamma 90.00
loop_
_space_group_symop_operation_xyz
'x,y,z'
loop_
_atom_site_label
_atom_site_type_symbol
_atom_site_fract_x
_atom_site_fract_y
_atom_site_fract_z
U1 U 0.250 0.676 0.152
U2 U 0.750 0.324 0.848
Tl1 Tl 0.250 0.213 0.257
Tl2 Tl 0.750 0.787 0.743
Ag1 Ag 0.250 0.073 0.605
Ag2 Ag 0.750 0.927 0.395
S1 S 0.750 0.866 0.112
S2 S 0.250 0.134 0.888
S3 S 0.250 0.764 0.451
S4 S 0.750 0.236 0.549
S5 S 0.750 0.465 0.150
S6 S 0.250 0.535 0.850
```

=====

(9)
VASP calculation (PBE) on UTl2Ag2S6 after structural relaxation.

Calculated values
Final energy, eV/atom: -4.729
Space group: C2/m, No. 12

Geometry as CIF:
```
data_UTl2Ag2S6
_space_group_name_H-M_alt 'P 1'
_space_group_IT_number 1
_cell_length_a 6.415
_cell_length_b 6.415
_cell_length_c 8.296
_cell_angle_alpha 102.07
_cell_angle_beta 102.07
_cell_angle_gamma 112.40
loop_
_space_group_symop_operation_xyz
'x,y,z'
loop_
_atom_site_label
_atom_site_type_symbol
_atom_site_fract_x
_atom_site_fract_y
_atom_site_fract_z
U1 U 0.000 0.000 0.500
Tl1 Tl 0.837 0.163 0.000
Tl2 Tl 0.163 0.837 0.000
Ag1 Ag 0.324 0.676 0.500
Ag2 Ag 0.676 0.324 0.500
S1 S 0.736 0.736 0.661
S2 S 0.039 0.363 0.718
S3 S 0.264 0.264 0.339
S4 S 0.363 0.039 0.718
S5 S 0.961 0.637 0.282
S6 S 0.637 0.961 0.282
```

=====

(10)
VASP calculation (PBE) on UTlAg2S4 after structural relaxation.

Calculated values
Final energy, eV/atom: -4.942
Space group: I-42m, No. 121

Geometry as CIF:
```
data_UTlAg2S4
_space_group_name_H-M_alt 'P 1'
_space_group_IT_number 1
_cell_length_a 6.341
_cell_length_b 6.341
_cell_length_c 6.341
_cell_angle_alpha 112.50
_cell_angle_beta 112.50
_cell_angle_gamma 103.58
loop_
_space_group_symop_operation_xyz
'x,y,z'
loop_
_atom_site_label
_atom_site_type_symbol
_atom_site_fract_x
_atom_site_fract_y
_atom_site_fract_z
U1 U 0.000 0.000 0.000
Tl1 Tl 0.500 0.500 0.000
Ag1 Ag 0.750 0.250 0.500
Ag2 Ag 0.250 0.750 0.500
S1 S 0.613 0.613 0.562
S2 S 0.949 0.387 0.000
S3 S 0.387 0.949 0.000
S4 S 0.051 0.051 0.438
```

=====

(11)
VASP calculation (PBE) on Tl2VAgS4 after structural relaxation.

Calculated values
Final energy, eV/atom: -4.661
Space group: Fddd, No. 70

Geometry as CIF:
```
data_Tl2VAgS4
_space_group_name_H-M_alt 'P 1'
_space_group_IT_number 1
_cell_length_a 5.770
_cell_length_b 7.114
_cell_length_c 12.021
_cell_angle_alpha 84.41
_cell_angle_beta 76.11
_cell_angle_gamma 66.07
loop_
_space_group_symop_operation_xyz
'x,y,z'
loop_
_atom_site_label
_atom_site_type_symbol
_atom_site_fract_x
_atom_site_fract_y
_atom_site_fract_z
Tl1 Tl 0.190 0.000 0.620
Tl2 Tl 0.810 0.000 0.380
Tl3 Tl 0.560 0.500 0.880
Tl4 Tl 0.940 0.500 0.120
V1 V 0.250 0.500 0.500
V2 V 0.500 0.000 0.000
Ag1 Ag 0.750 0.500 0.500
Ag2 Ag 0.000 0.000 0.000
S1 S 0.343 0.796 0.110
S2 S 0.249 0.204 0.890
S3 S 0.861 0.796 0.890
S4 S 0.547 0.204 0.110
S5 S 0.407 0.704 0.390
S6 S 0.501 0.296 0.610
S7 S 0.889 0.704 0.610
S8 S 0.203 0.296 0.390
```

=====

Here are the calculated E_form (uncorrected) numbers, same order: 0.02; -0.11; -0.19; -0.81; -0.93; -0.86; -0.52; -0.83; -0.50; -0.46; -0.51 (eV/atom).
Here are the calculated size of the total moment numbers, same order: 0.0; 0.0; 0.0; 0.0; 3.0; 4.0; 0.0; 2.0; 0.0; 1.0; 0.0 (μB per formula unit).
Here are the calculated mass density numbers, same order: 7793; 7199; 6307; 6698; 6321; 7382; 7094; 6811; 5988; 6705; 5278 (kg/m³).